No. 1
# GGA-PBE LaNdInSn, optimized geometry
# ΔE to the lowest computed polymorph ... 0.0 kJ per mole of atoms
# Formation energy from the elements ... -594.5 meV per atom
data_LaNdInSn
_symmetry_space_group_name_H-M 'I m m 2'
_symmetry_Int_Tables_number 44
_cell_length_a 4.317
_cell_length_b 4.986
_cell_length_c 11.104
_cell_angle_alpha 90.00
_cell_angle_beta 90.00
_cell_angle_gamma 90.00
loop_
_symmetry_equiv_pos_as_xyz
'x,y,z'
'-x,-y,z'
'-x,y,z'
'x,-y,z'
'x+1/2,y+1/2,z+1/2'
'-x+1/2,-y+1/2,z+1/2'
'-x+1/2,y+1/2,z+1/2'
'x+1/2,-y+1/2,z+1/2'
loop_
_atom_site_label
_atom_site_fract_x
_atom_site_fract_y
_atom_site_fract_z
_atom_site_occupancy
La1 0.000 0.000 0.000 1
Nd1 0.000 0.500 0.765 1
In1 0.000 0.000 0.540 1
Sn1 0.000 0.500 0.237 1

No. 2
# GGA-PBE TbMgCu, optimized geometry
# Formation energy from the elements ... -96.7 meV per atom
data_TbMgCu
_symmetry_space_group_name_H-M 'I 4 m m'
_symmetry_Int_Tables_number 107
_symmetry_space_group_name_Hall 'I 4 -2'
_cell_length_a 3.347
_cell_length_b 3.347
_cell_length_c 11.608
_cell_angle_alpha 90.00
_cell_angle_beta 90.00
_cell_angle_gamma 90.00
loop_
_atom_site_label
_atom_site_fract_x
_atom_site_fract_y
_atom_site_fract_z
_atom_site_occupancy
Tb1 0.000 0.000 0.000 1
Mg1 0.000 0.000 0.718 1
Cu1 0.000 0.000 0.346 1

No. 3
# GGA-PBE TbPmBi, optimized geometry
# ΔE to the lowest computed polymorph ... 0.0 kJ per mole of atoms
# Formation energy from the elements ... -639.8 meV per atom
data_TbPmBi
_symmetry_space_group_name_H-M 'I 4/m m m'
_symmetry_Int_Tables_number 139
_symmetry_space_group_name_Hall '-I 4 2'
_cell_length_a 4.580
_cell_length_b 4.580
_cell_length_c 17.676
_cell_angle_alpha 90.00
_cell_angle_beta 90.00
_cell_angle_gamma 90.00
loop_
_atom_site_label
_atom_site_fract_x
_atom_site_fract_y
_atom_site_fract_z
_atom_site_occupancy
Tb1 0.000 0.500 0.000 1
Pm1 0.000 0.000 0.177 1
Bi1 0.000 0.000 0.363 1

No. 4
# GGA-PBE GaCuRh2, optimized geometry
# Formation energy from the elements ... -207.4 meV per atom
data_GaCuRh2
_symmetry_space_group_name_H-M 'R 3 m'
_symmetry_Int_Tables_number 160
_symmetry_space_group_name_Hall 'R 3 -2"'
_cell_length_a 2.8216
_cell_length_b 2.8216
_cell_length_c 24.4598
_cell_angle_alpha 90.00
_cell_angle_beta 90.00
_cell_angle_gamma 120.00
loop_
_atom_site_label
_atom_site_fract_x
_atom_site_fract_y
_atom_site_fract_z
_atom_site_occupancy
Ga1 0.0000 0.0000 0.0000 1
Cu1 0.0000 0.0000 0.8333 1
Rh1 0.0000 0.0000 0.4140 1
Rh2 0.0000 0.0000 0.5862 1

Number 1: total energy -4.704 eV/atom. Number 2: total energy -3.537 eV/atom. Number 3: total energy -5.060 eV/atom. Number 4: total energy -5.664 eV/atom.